Record 1
Below is TlSbTe2Pt after structural relaxation, with properties calculated at the PBE level.

The structure belongs to space group P4/mmm (No. 123); the cell edges are 5.6274, 5.6274 and 5.0895 Å and the angles 90.00°, 90.00° and 90.00°. The distinct sites, in fractional coordinates, are Tl at (0.0000, 0.0000, 0.0000), Sb at (0.5000, 0.5000, 0.0000), Te at (0.0000, 0.5000, 0.5000) and Pt at (0.5000, 0.5000, 0.5000).

The raw total energy comes out at -18.2 eV for the cell shown. As for the mass density: 8.00 g cm⁻³. The density of states at the Fermi level comes out at 0.84 states/eV per atom. Its uncorrected formation energy is 0.128 eV per atom. The energy above the lowest structure with this stoichiometry comes out at 0.0 meV per atom. The crystal system is tetragonal.

Record 2
Below is NaGa2S after structural relaxation, with properties calculated at the PBE level.

The structure belongs to space group I-42d (No. 122); the cell edges are 7.8575, 7.8575 and 5.6207 Å and the angles 90.00°, 90.00° and 90.00°. The distinct sites, in fractional coordinates, are Na at (0.0000, 0.0000, 0.0000), Ga at (0.2069, 0.2500, 0.6250) and S at (0.0000, 0.0000, 0.5000).

The raw total energy comes out at -51.0 eV for the cell shown. As for the mass density: 3.72 g cm⁻³. The density of states at the Fermi level comes out at 0.29 states/eV per atom. Its uncorrected formation energy is -0.313 eV per atom. The crystal system is tetragonal.

Record 3
Below is NaUSbO6 after structural relaxation, with properties calculated at the PBE level.

The structure belongs to space group P-31c (No. 163); the cell edges are 5.5407, 5.5407 and 10.2786 Å and the angles 90.00°, 90.00° and 120.00°. The distinct sites, in fractional coordinates, are Na at (0.0000, 0.0000, 0.0000), U at (0.3333, 0.6667, 0.2500), Sb at (0.3333, 0.6667, 0.7500) and O at (0.0127, 0.3751, 0.6439).

The raw total energy comes out at -131.7 eV for the cell shown. As for the mass density: 5.82 g cm⁻³. The density of states at the Fermi level comes out at 0.00 states/eV per atom. Its uncorrected formation energy is -2.151 eV per atom. The crystal system is trigonal.